[1]
12
Lattice="6.387 0.000 0.000 0.000 6.387 0.000 0.000 0.000 6.387" Properties=species:S:1:pos:R:3 comment="PBE UPaTc, relaxed" density_g_cm3=14.5 polymorph_energy_kj_per_mol_atoms=0.0 sg="F-43m (216)" formation_energy_ev_per_atom=0.3702 total_magnetization_mub_per_cell=0.19 pbc="T T T"
U 0.000 0.000 0.000
U 0.000 3.194 3.194
U 3.194 0.000 3.194
U 3.194 3.194 0.000
Pa 1.597 1.597 4.791
Pa 1.597 4.791 1.597
Pa 4.791 1.597 1.597
Pa 4.791 4.791 4.791
Tc 1.597 1.597 1.597
Tc 1.597 4.791 4.791
Tc 4.791 1.597 4.791
Tc 4.791 4.791 1.597

---

[2]
12
Lattice="6.266 0.000 0.000 0.000 6.266 0.000 0.000 0.000 6.266" Properties=species:S:1:pos:R:3 comment="PBE PaTcW, relaxed" density_g_cm3=13.8 sg="F-43m (216)" formation_energy_ev_per_atom=0.9345 total_magnetization_mub_per_cell=0.02 pbc="T T T"
Pa 0.000 0.000 0.000
Pa 0.000 3.133 3.133
Pa 3.133 0.000 3.133
Pa 3.133 3.133 0.000
Tc 1.567 1.567 4.700
Tc 1.567 4.700 1.567
Tc 4.700 1.567 1.567
Tc 4.700 4.700 4.700
W 1.567 1.567 1.567
W 1.567 4.700 4.700
W 4.700 1.567 4.700
W 4.700 4.700 1.567

---

[3]
8
Lattice="4.721 0.000 0.000 0.000 6.466 0.000 -1.436 0.000 4.709" Properties=species:S:1:pos:R:3 comment="PBE PaZn2Tc, relaxed" density_g_cm3=10.6 sg="P2_1/m (11)" formation_energy_ev_per_atom=-0.2575 total_magnetization_mub_per_cell=0.00 pbc="T T T"
Pa -0.001 1.617 0.638
Pa 3.285 4.850 4.071
Zn 0.958 0.325 3.428
Zn 0.958 2.908 3.428
Zn 2.327 3.558 1.281
Zn 2.327 6.141 1.281
Tc -0.091 4.850 1.807
Tc 3.376 1.617 2.902

---

[4]
12
Lattice="6.270 0.000 0.000 0.000 6.270 0.000 0.000 0.000 6.270" Properties=species:S:1:pos:R:3 comment="PBE PaZnTc, relaxed" density_g_cm3=10.6 sg="F-43m (216)" formation_energy_ev_per_atom=0.4015 total_magnetization_mub_per_cell=0.00 pbc="T T T"
Pa 0.000 0.000 0.000
Pa 0.000 3.135 3.135
Pa 3.135 0.000 3.135
Pa 3.135 3.135 0.000
Zn 1.567 1.567 1.567
Zn 1.567 4.702 4.702
Zn 4.702 1.567 4.702
Zn 4.702 4.702 1.567
Tc 0.000 0.000 3.135
Tc 0.000 3.135 0.000
Tc 3.135 0.000 0.000
Tc 3.135 3.135 3.135

---

[5]
9
Lattice="4.106 0.000 0.000 -2.053 3.556 0.000 0.000 0.000 22.361" Properties=species:S:1:pos:R:3 comment="PBE PaTe2, relaxed" density_g_cm3=7.4 total_energy_ev_per_atom=-5.990 sg="R3m (160)" total_magnetization_mub_per_cell=3.01 pbc="T T T"
Pa 0.000 0.000 0.000
Pa 0.000 2.371 14.907
Pa 2.053 1.185 7.454
Te 0.000 0.000 5.498
Te 0.000 0.000 9.413
Te 0.000 2.371 1.959
Te 0.000 2.371 20.405
Te 2.053 1.185 12.952
Te 2.053 1.185 16.866

---

[6]
12
Lattice="7.289 0.000 0.000 0.000 7.289 0.000 0.000 0.000 7.289" Properties=species:S:1:pos:R:3 comment="PBE ThPaTe, relaxed" density_g_cm3=10.1 total_energy_ev_per_atom=-6.594 sg="F-43m (216)" total_magnetization_mub_per_cell=5.25 pbc="T T T"
Th 0.000 0.000 0.000
Th 0.000 3.645 3.645
Th 3.645 0.000 3.645
Th 3.645 3.645 0.000
Pa 0.000 0.000 3.645
Pa 0.000 3.645 0.000
Pa 3.645 0.000 0.000
Pa 3.645 3.645 3.645
Te 1.822 1.822 5.467
Te 1.822 5.467 1.822
Te 5.467 1.822 1.822
Te 5.467 5.467 5.467